1.
# RbTaZn2

Crystalline RbTaZn2 at its relaxed geometry (PBE, Alexandria via LeMat-Bulk).

Values from the calculation:
ΔE_f ... 1.1129 eV/atom
Relative energy among the computed polymorphs ... 0.0 meV per atom

Unit cell a=5.3747 b=5.3747 c=18.5229 alpha=90.00 beta=90.00 gamma=90.00
Fractional coordinates of all 16 atoms:
Rb1 0.0000 0.2500 0.3750
Rb2 0.0000 0.7500 0.6250
Rb3 0.5000 0.2500 0.1250
Rb4 0.5000 0.7500 0.8750
Ta1 0.0000 0.2500 0.8750
Ta2 0.0000 0.7500 0.1250
Ta3 0.5000 0.2500 0.6250
Ta4 0.5000 0.7500 0.3750
Zn1 0.0000 0.0000 0.0000
Zn2 0.0000 0.5000 0.0000
Zn3 0.2500 0.2500 0.7500
Zn4 0.2500 0.7500 0.2500
Zn5 0.5000 0.0000 0.5000
Zn6 0.5000 0.5000 0.5000
Zn7 0.7500 0.2500 0.7500
Zn8 0.7500 0.7500 0.2500



2.
# RbTaZn

Crystalline RbTaZn at its relaxed geometry (PBE, Alexandria via LeMat-Bulk).

Values from the calculation:
ΔE_f ... 0.7016 eV/atom
Relative energy among the computed polymorphs ... 333.6 meV per atom

Unit cell a=13.9490 b=5.0625 c=5.0733 alpha=90.00 beta=90.00 gamma=90.00
Fractional coordinates of all 12 atoms:
Rb1 0.2250 0.2500 0.0012
Rb2 0.2750 0.7500 0.5012
Rb3 0.7250 0.2500 0.4988
Rb4 0.7750 0.7500 0.9988
Ta1 0.0004 0.2500 0.5000
Ta2 0.9996 0.7500 0.5000
Ta3 0.5004 0.2500 0.0000
Ta4 0.4996 0.7500 0.0000
Zn1 0.0000 0.0000 0.0000
Zn2 0.0000 0.5000 0.0000
Zn3 0.5000 0.0000 0.5000
Zn4 0.5000 0.5000 0.5000



3.
# RbTaZn

Crystalline RbTaZn at its relaxed geometry (PBE, Alexandria via LeMat-Bulk).

Values from the calculation:
ΔE_f ... 1.3847 eV/atom
Relative energy among the computed polymorphs ... 1016.7 meV per atom

Unit cell a=4.3725 b=4.3725 c=12.3328 alpha=90.00 beta=90.00 gamma=120.00
Fractional coordinates of all 6 atoms:
Rb1 0.0000 0.0000 0.0000
Rb2 0.0000 0.0000 0.5000
Ta1 0.3333 0.6667 0.2500
Ta2 0.6667 0.3333 0.7500
Zn1 0.3333 0.6667 0.7500
Zn2 0.6667 0.3333 0.2500



4.
# RbTaZn

Crystalline RbTaZn at its relaxed geometry (PBE, Alexandria via LeMat-Bulk).

Values from the calculation:
ΔE_f ... 1.2321 eV/atom
Relative energy among the computed polymorphs ... 864.1 meV per atom

Unit cell a=5.2506 b=5.2506 c=8.0279 alpha=90.00 beta=90.00 gamma=120.00
Fractional coordinates of all 6 atoms:
Rb1 0.0000 0.0000 0.0000
Rb2 0.0000 0.0000 0.5000
Ta1 0.3333 0.6667 0.1480
Ta2 0.3333 0.6667 0.8520
Zn1 0.6667 0.3333 0.1682
Zn2 0.6667 0.3333 0.8318



5.
# RbTaZn

Crystalline RbTaZn at its relaxed geometry (PBE, Alexandria via LeMat-Bulk).

Values from the calculation:
ΔE_f ... 1.0459 eV/atom
Relative energy among the computed polymorphs ... 677.9 meV per atom

Unit cell a=4.9902 b=4.9902 c=8.2730 alpha=90.00 beta=90.00 gamma=90.00
Fractional coordinates of all 6 atoms:
Rb1 0.2500 0.2500 0.1523
Rb2 0.7500 0.7500 0.8477
Ta1 0.2500 0.2500 0.5755
Ta2 0.7500 0.7500 0.4245
Zn1 0.2500 0.7500 0.5000
Zn2 0.7500 0.2500 0.5000



6.
# RbTaZn2

Crystalline RbTaZn2 at its relaxed geometry (PBE, Alexandria via LeMat-Bulk).

Values from the calculation:
ΔE_f ... 1.1437 eV/atom
Relative energy among the computed polymorphs ... 30.8 meV per atom

Unit cell a=7.1418 b=7.1418 c=7.1418 alpha=90.00 beta=90.00 gamma=90.00
Fractional coordinates of all 16 atoms:
Rb1 0.0000 0.0000 0.0000
Rb2 0.0000 0.5000 0.5000
Rb3 0.5000 0.0000 0.5000
Rb4 0.5000 0.5000 0.0000
Ta1 0.0000 0.0000 0.5000
Ta2 0.0000 0.5000 0.0000
Ta3 0.5000 0.0000 0.0000
Ta4 0.5000 0.5000 0.5000
Zn1 0.2500 0.2500 0.2500
Zn2 0.2500 0.2500 0.7500
Zn3 0.2500 0.7500 0.2500
Zn4 0.2500 0.7500 0.7500
Zn5 0.7500 0.2500 0.2500
Zn6 0.7500 0.2500 0.7500
Zn7 0.7500 0.7500 0.2500
Zn8 0.7500 0.7500 0.7500



7.
# RbTaZn

Crystalline RbTaZn at its relaxed geometry (PBE, Alexandria via LeMat-Bulk).

Values from the calculation:
ΔE_f ... 1.9297 eV/atom
Relative energy among the computed polymorphs ... 1561.7 meV per atom

Unit cell a=7.0444 b=7.0444 c=7.0444 alpha=90.00 beta=90.00 gamma=90.00
Fractional coordinates of all 12 atoms:
Rb1 0.0000 0.0000 0.0000
Rb2 0.0000 0.5000 0.5000
Rb3 0.5000 0.0000 0.5000
Rb4 0.5000 0.5000 0.0000
Ta1 0.0000 0.0000 0.5000
Ta2 0.0000 0.5000 0.0000
Ta3 0.5000 0.0000 0.0000
Ta4 0.5000 0.5000 0.5000
Zn1 0.2500 0.2500 0.2500
Zn2 0.2500 0.7500 0.7500
Zn3 0.7500 0.2500 0.7500
Zn4 0.7500 0.7500 0.2500



8.
# RbTaZn

Crystalline RbTaZn at its relaxed geometry (PBE, Alexandria via LeMat-Bulk).

Values from the calculation:
ΔE_f ... 0.4346 eV/atom
Relative energy among the computed polymorphs ... 66.6 meV per atom

Unit cell a=3.6472 b=4.1162 c=13.0536 alpha=90.01 beta=97.83 gamma=90.00
Fractional coordinates of all 6 atoms:
Rb1 0.0000 0.0000 0.0000
Rb2 0.3339 0.5002 0.6573
Ta1 0.1204 0.4978 0.2536
Ta2 0.6937 0.4979 0.4035
Zn1 0.1989 0.9979 0.4148
Zn2 0.6162 0.9977 0.2448



9.
# RbTaZn3

Crystalline RbTaZn3 at its relaxed geometry (PBE, Alexandria via LeMat-Bulk).

Values from the calculation:
ΔE_f ... 0.7136 eV/atom
Relative energy among the computed polymorphs ... 0.0 meV per atom

Unit cell a=5.2906 b=5.2906 c=5.2906 alpha=90.00 beta=90.00 gamma=90.00
Fractional coordinates of all 5 atoms:
Rb1 0.0000 0.0000 0.0000
Ta1 0.5000 0.5000 0.5000
Zn1 0.0000 0.5000 0.5000
Zn2 0.5000 0.0000 0.5000
Zn3 0.5000 0.5000 0.0000



10.
# RbTaZn

Crystalline RbTaZn at its relaxed geometry (PBE, Alexandria via LeMat-Bulk).

Values from the calculation:
ΔE_f ... 0.3680 eV/atom
Relative energy among the computed polymorphs ... 0.0 meV per atom

Unit cell a=3.5163 b=3.5164 c=13.9272 alpha=89.43 beta=89.26 gamma=90.00
Fractional coordinates of all 6 atoms:
Rb1 0.2325 0.2368 0.3372
Rb2 0.7675 0.7632 0.6628
Ta1 0.2472 0.2477 0.0506
Ta2 0.7528 0.7523 0.9494
Zn1 0.2579 0.2563 0.8524
Zn2 0.7421 0.7437 0.1476



11.
# RbTaZn3

Crystalline RbTaZn3 at its relaxed geometry (PBE, Alexandria via LeMat-Bulk).

Values from the calculation:
ΔE_f ... 2.1120 eV/atom
Relative energy among the computed polymorphs ... 1398.4 meV per atom

Unit cell a=5.1504 b=5.1504 c=5.1504 alpha=90.00 beta=90.00 gamma=90.00
Fractional coordinates of all 5 atoms:
Rb1 0.0000 0.0000 0.0000
Ta1 0.5000 0.5000 0.5000
Zn1 0.0000 0.0000 0.5000
Zn2 0.0000 0.5000 0.0000
Zn3 0.5000 0.0000 0.0000



12.
# RbTaZn

Crystalline RbTaZn at its relaxed geometry (PBE, Alexandria via LeMat-Bulk).

Values from the calculation:
ΔE_f ... 1.3838 eV/atom
Relative energy among the computed polymorphs ... 1015.8 meV per atom

Unit cell a=4.3716 b=4.3716 c=6.1639 alpha=90.00 beta=90.00 gamma=120.00
Fractional coordinates of all 3 atoms:
Rb1 0.0000 0.0000 0.0000
Ta1 0.6667 0.3333 0.5000
Zn1 0.3333 0.6667 0.5000



13.
# RbTaZn

Crystalline RbTaZn at its relaxed geometry (PBE, Alexandria via LeMat-Bulk).

Values from the calculation:
ΔE_f ... 0.7609 eV/atom
Relative energy among the computed polymorphs ... 392.9 meV per atom

Unit cell a=9.3914 b=3.2906 c=12.1841 alpha=90.00 beta=90.00 gamma=90.00
Fractional coordinates of all 12 atoms:
Rb1 0.0640 0.2500 0.1696
Rb2 0.4360 0.7500 0.6696
Rb3 0.5640 0.2500 0.3304
Rb4 0.9360 0.7500 0.8304
Ta1 0.0814 0.2500 0.5499
Ta2 0.4186 0.7500 0.0499
Ta3 0.5814 0.2500 0.9501
Ta4 0.9186 0.7500 0.4501
Zn1 0.2248 0.7500 0.4081
Zn2 0.2752 0.2500 0.9081
Zn3 0.7248 0.7500 0.0919
Zn4 0.7752 0.2500 0.5919



Number 1: DFT total energy -43.7 eV for the cell shown. Number 2: DFT total energy -48.0 eV for the cell shown. Number 3: DFT total energy -19.9 eV for the cell shown. Number 4: DFT total energy -20.8 eV for the cell shown. Number 5: DFT total energy -21.9 eV for the cell shown. Number 6: DFT total energy -43.2 eV for the cell shown. Number 7: DFT total energy -33.2 eV for the cell shown. Number 8: DFT total energy -25.6 eV for the cell shown. Number 9: DFT total energy -13.1 eV for the cell shown. Number 10: DFT total energy -26.0 eV for the cell shown. Number 11: DFT total energy -6.1 eV for the cell shown. Number 12: DFT total energy -9.9 eV for the cell shown. Number 13: DFT total energy -47.2 eV for the cell shown.